Entry 1:
A geometry-optimized Zr2ScBeIr structure. Source: Alexandria, functional GGA-PBE.

```
5
Lattice="4.6105 0.0000 0.0000 0.0000 4.6105 0.0000 0.0000 0.0000 4.5809" Properties=species:S:1:pos:R:3 pbc="T T T"
Zr 0.0000 2.3053 0.0000
Zr 2.3053 0.0000 0.0000
Sc 0.0000 0.0000 2.2905
Be 0.0000 0.0000 0.0000
Ir 2.3053 2.3053 2.2905
```

Results
Density of states at the Fermi level: 7.1 states/eV/cell
V: 19.5 Å³/atom
Space-group type: P4/mmm
Total DFT energy (no corrections): -6.909 eV/atom
ΔE_f: 0.29 eV/atom


Entry 2:
A geometry-optimized BeIrSe2 structure. Source: Alexandria, functional GGA-PBE.

```
4
Lattice="-1.4325 2.2060 5.6322 1.4325 -2.2060 5.6322 1.4325 2.2060 -5.6322" Properties=species:S:1:pos:R:3 pbc="T T T"
Be 0.0000 0.0000 0.0000
Ir 1.4325 0.0000 1.9011
Se 0.0000 0.0000 4.0926
Se 0.0000 2.2060 1.4428
```

Results
Density of states at the Fermi level: 1.6 states/eV/cell
V: 17.8 Å³/atom
Space-group type: Imm2
Total DFT energy (no corrections): -4.577 eV/atom


Entry 3:
A geometry-optimized BeIrSe2 structure. Source: Alexandria, functional GGA-PBE.

```
4
Lattice="2.9902 0.0000 0.0000 0.0000 2.9902 0.0000 0.0000 0.0000 7.8481" Properties=species:S:1:pos:R:3 pbc="T T T"
Be 0.0000 0.0000 0.0000
Ir 1.4951 1.4951 1.0148
Se 0.0000 0.0000 2.9666
Se 1.4951 1.4951 6.3673
```

Results
Density of states at the Fermi level: 1.7 states/eV/cell
V: 17.5 Å³/atom
Space-group type: P4mm
Total DFT energy (no corrections): -4.810 eV/atom


Entry 4:
A geometry-optimized Be2IrSe structure. Source: Alexandria, functional GGA-PBE.

```
4
Lattice="3.8025 0.0000 0.0000 0.0000 3.1028 0.0000 -1.6668 0.0000 4.3328" Properties=species:S:1:pos:R:3 pbc="T T T"
Be 0.0000 0.0000 0.0000
Be -0.8334 1.5514 2.1664
Ir 1.0679 0.0000 2.1664
Se 1.9013 1.5514 0.0000
```

Results
Density of states at the Fermi level: 1.2 states/eV/cell
V: 12.8 Å³/atom
Space-group type: P2/m
Total DFT energy (no corrections): -4.826 eV/atom


Entry 5:
A geometry-optimized Be2IrSe structure. Source: Alexandria, functional GGA-PBE.

```
4
Lattice="1.3945 -2.3308 0.0000 1.3945 2.3308 0.0000 0.0000 0.0000 8.5957" Properties=species:S:1:pos:R:3 pbc="T T T"
Be 0.0000 0.0000 0.0000
Be 1.3945 0.0000 1.8275
Ir 1.3945 0.0000 6.8685
Se 0.0000 0.0000 3.8597
```

Results
Density of states at the Fermi level: 2.8 states/eV/cell
V: 14.0 Å³/atom
Space-group type: Cmm2
Total DFT energy (no corrections): -4.513 eV/atom


Entry 6:
A geometry-optimized BeIrSe2 structure. Source: Alexandria, functional GGA-PBE.

```
4
Lattice="-2.0126 2.0126 3.8497 2.0126 -2.0126 3.8497 2.0126 2.0126 -3.8497" Properties=species:S:1:pos:R:3 pbc="T T T"
Be 0.0000 0.0000 0.0000
Ir 2.0126 0.0000 1.9249
Se 0.0000 0.0000 3.8497
Se 0.0000 2.0126 1.9249
```

Results
Density of states at the Fermi level: 2.7 states/eV/cell
V: 15.6 Å³/atom
Space-group type: I-4m2
Total DFT energy (no corrections): -4.296 eV/atom